Entry 1:
Entry from Alexandria: a relaxed AcTbCd2 crystal (PBE).

Cell: 5.5600 5.5600 5.5600 Å, 60.00 60.00 60.00°
Site moments in Bohr magnetons follow the coordinates.
Atoms (fractional coordinates):
Ac: 0.5000 0.5000 0.5000  0.09
Tb: 0.0000 0.0000 0.0000  0.21
Cd: 0.2500 0.2500 0.2500  0.01
Cd: 0.7500 0.7500 0.7500  0.01

**Total magnetization**: 0.66 μB/f.u.
**Volume**: 30.4 Å³/atom
**Energy relative to the lowest polymorph listed for this composition**: 0.12 eV/f.u.
**Raw total energy**: -0.2134 Ry/atom


Entry 2:
Entry from Alexandria: a relaxed MoBr crystal (PBE).

Cell: 4.6084 4.6084 4.6084 Å, 39.08 39.08 39.08°
Atoms (fractional coordinates):
Mo: 0.5000 0.5000 0.5000
Br: 0.0000 0.0000 0.0000

**Total magnetization**: 0.00 μB/f.u.
**Volume**: 17.5 Å³/atom
**Energy relative to the lowest polymorph listed for this composition**: 1.81 eV/f.u.
**Raw total energy**: -0.3984 Ry/atom
**Uncorrected formation energy**: 1.662 eV/f.u.


Entry 3:
Entry from Alexandria: a relaxed Li12Cd6Au crystal (PBE).

Cell: 7.1522 7.1522 7.1522 Å, 91.14 91.14 91.14°
Atoms (fractional coordinates):
Li: 0.8002 0.5288 0.4384
Li: 0.4384 0.8002 0.5288
Li: 0.5288 0.4384 0.8002
Li: 0.1998 0.4712 0.5616
Li: 0.5616 0.1998 0.4712
Li: 0.4712 0.5616 0.1998
Li: 0.0346 0.1484 0.3664
Li: 0.8516 0.6336 0.9654
Li: 0.6336 0.9654 0.8516
Li: 0.9654 0.8516 0.6336
Li: 0.1484 0.3664 0.0346
Li: 0.3664 0.0346 0.1484
Cd: 0.7216 0.8826 0.2736
Cd: 0.7264 0.2784 0.1174
Cd: 0.1174 0.7264 0.2784
Cd: 0.2784 0.1174 0.7264
Cd: 0.2736 0.7216 0.8826
Cd: 0.8826 0.2736 0.7216
Au: 0.0000 0.0000 0.0000

**Total magnetization**: 0.00 μB/f.u.
**Volume**: 19.2 Å³/atom
**Raw total energy**: -0.1383 Ry/atom


Entry 4:
Entry from Alexandria: a relaxed Cu3SbPt crystal (PBE).

Cell: 4.7137 4.7137 4.7137 Å, 90.00 90.00 90.00°
Atoms (fractional coordinates):
Sb: 0.0000 0.0000 0.0000
Cu: 0.0000 0.5000 0.0000
Cu: 0.0000 0.0000 0.5000
Cu: 0.5000 0.0000 0.0000
Pt: 0.5000 0.5000 0.5000

**Total magnetization**: 0.00 μB/f.u.
**Volume**: 20.9 Å³/atom
**Energy relative to the lowest polymorph listed for this composition**: 1.46 eV/f.u.
**Raw total energy**: -0.2588 Ry/atom
**Uncorrected formation energy**: 4.849 eV/f.u.


Entry 5:
Entry from Alexandria: a relaxed Ho5Sb4C crystal (PBE).

Cell: 6.1039 7.2919 7.2919 Å, 79.91 65.26 65.26°
Atoms (fractional coordinates):
Ho: 0.9072 0.3458 0.8424
Ho: 0.2530 0.8424 0.6542
Ho: 0.7496 0.1576 0.3458
Ho: 0.0954 0.6542 0.1576
Ho: 0.4397 0.0000 0.0000
Sb: 0.4211 0.3946 0.7720
Sb: 0.8157 0.7720 0.6054
Sb: 0.1931 0.2280 0.3946
Sb: 0.5877 0.6054 0.2280
C: 0.0479 0.0000 0.0000

**Total magnetization**: 0.00 μB/f.u.
**Volume**: 26.8 Å³/atom
**Raw total energy**: -0.4173 Ry/atom
**Uncorrected formation energy**: -8.172 eV/f.u.


Entry 6:
Entry from Alexandria: a relaxed SrSe4 crystal (PBE).

Cell: 5.9925 5.9925 5.9925 Å, 90.00 90.00 90.00°
Site moments in Bohr magnetons follow the coordinates.
Atoms (fractional coordinates):
Sr: 0.5000 0.5000 0.5000  -0.01
Se: 0.0000 0.0000 0.0000  1.23
Se: 0.5000 0.0000 0.5000  0.80
Se: 0.0000 0.5000 0.5000  0.80
Se: 0.5000 0.5000 0.0000  0.80

**Total magnetization**: 6.04 μB/f.u.
**Volume**: 43.0 Å³/atom
**Raw total energy**: -0.1962 Ry/atom
**Uncorrected formation energy**: 2.273 eV/f.u.


Look up the total magnetization of the first one.
0.66 μB/f.u.


What did the third record say?
Entry from Alexandria: a relaxed Li12Cd6Au crystal (PBE).

Cell: 7.1522 7.1522 7.1522 Å, 91.14 91.14 91.14°
Atoms (fractional coordinates):
Li: 0.8002 0.5288 0.4384
Li: 0.4384 0.8002 0.5288
Li: 0.5288 0.4384 0.8002
Li: 0.1998 0.4712 0.5616
Li: 0.5616 0.1998 0.4712
Li: 0.4712 0.5616 0.1998
Li: 0.0346 0.1484 0.3664
Li: 0.8516 0.6336 0.9654
Li: 0.6336 0.9654 0.8516
Li: 0.9654 0.8516 0.6336
Li: 0.1484 0.3664 0.0346
Li: 0.3664 0.0346 0.1484
Cd: 0.7216 0.8826 0.2736
Cd: 0.7264 0.2784 0.1174
Cd: 0.1174 0.7264 0.2784
Cd: 0.2784 0.1174 0.7264
Cd: 0.2736 0.7216 0.8826
Cd: 0.8826 0.2736 0.7216
Au: 0.0000 0.0000 0.0000

**Total magnetization**: 0.00 μB/f.u.
**Volume**: 19.2 Å³/atom
**Raw total energy**: -0.1383 Ry/atom